Compound: KMgRh
Source: Alexandria via LeMat-Bulk
Functional: GGA-PBE
Structure: relaxed

abc: 3.1729 3.1729 7.9067
angles: 90.00 90.00 120.00
With the nearest neighbours (Å) after each atom.
Fractional positions:
K 0.0000 0.0000 0.0000  3 Rh 3.14, 6 K 3.17
Mg 0.6667 0.3333 0.4398  3 Rh 2.62
Rh 0.3333 0.6667 0.6774  3 Mg 2.62

The value obtained for the magnetic moment is 0.0 μB per formula unit. The value obtained for the formation energy is 324 meV/atom.